No. 1
Computed, not measured: a relaxed BaCu2SnS4 crystal at the PBE level of DFT.

Summary:
E_tot in eV/atom: -4.64
Total moment in μB per formula unit: 0.0
Space-group type: P3_121 (152)

abc: 6.441 6.441 15.843
angles: 90.00 90.00 120.00
Fractional positions:
S1 0.939 0.440 0.546
S2 0.061 0.501 0.787
S3 0.499 0.560 0.120
S4 0.501 0.061 0.213
S5 0.560 0.499 0.880
S6 0.348 0.113 0.669
S7 0.765 0.652 0.336
S8 0.887 0.235 0.002
S9 0.652 0.765 0.664
S10 0.113 0.348 0.331
S11 0.440 0.939 0.454
S12 0.235 0.887 0.998
Ba1 0.574 0.000 0.833
Ba2 0.426 0.426 0.500
Ba3 0.000 0.574 0.167
Sn1 0.000 0.705 0.667
Sn2 0.295 0.295 0.000
Sn3 0.705 0.000 0.333
Cu1 0.064 0.631 0.412
Cu2 0.369 0.434 0.745
Cu3 0.936 0.566 0.922
Cu4 0.566 0.936 0.078
Cu5 0.631 0.064 0.588
Cu6 0.434 0.369 0.255

***

No. 2
Computed, not measured: a relaxed BaCuSn2S4 crystal at the PBE level of DFT.

Summary:
E_tot in eV/atom: -4.60
Total moment in μB per formula unit: 0.0
Space-group type: Cmcm (63)
Density of states at the Fermi level in states/eV per atom: 0.3478

abc: 4.124 6.971 14.046
angles: 90.00 90.00 107.21
Fractional positions:
S1 0.422 0.844 0.750
S2 0.269 0.538 0.383
S3 0.000 0.000 0.500
S4 0.731 0.462 0.883
S5 0.000 0.000 0.000
S6 0.269 0.538 0.117
S7 0.578 0.156 0.250
S8 0.731 0.462 0.617
Cu1 0.840 0.679 0.750
Cu2 0.160 0.321 0.250
Sn1 0.368 0.735 0.946
Sn2 0.368 0.735 0.554
Sn3 0.632 0.265 0.446
Sn4 0.632 0.265 0.054
Ba1 0.107 0.213 0.750
Ba2 0.893 0.787 0.250

***

No. 3
Computed, not measured: a relaxed BaCuSnS2 crystal at the PBE level of DFT.

Summary:
E_tot in eV/atom: -3.43
Total moment in μB per formula unit: 0.0
Space-group type: P4/mmm (123)
Density of states at the Fermi level in states/eV per atom: 0.4632

abc: 4.996 6.914 4.996
angles: 90.00 90.00 90.00
Fractional positions:
Cu1 0.500 0.500 0.500
Sn1 0.000 0.000 0.000
S1 0.500 0.000 0.000
S2 0.000 0.000 0.500
Ba1 0.000 0.500 0.000

***

No. 4
Computed, not measured: a relaxed BaTa3Cu4S12 crystal at the PBE level of DFT.

Summary:
E_tot in eV/atom: -5.81
Total moment in μB per formula unit: 0.0
Space-group type: R32 (155)
Density of states at the Fermi level in states/eV per atom: 0.7365

abc: 8.269 8.269 8.269
angles: 107.44 107.44 107.44
Fractional positions:
S1 0.360 0.971 0.245
S2 0.245 0.360 0.971
S3 0.755 0.029 0.640
S4 0.500 0.334 0.666
S5 0.500 0.108 0.892
S6 0.029 0.640 0.755
S7 0.971 0.245 0.360
S8 0.108 0.892 0.500
S9 0.666 0.500 0.334
S10 0.334 0.666 0.500
S11 0.640 0.755 0.029
S12 0.892 0.500 0.108
Cu1 0.944 0.056 0.500
Cu2 0.056 0.500 0.944
Cu3 0.500 0.500 0.500
Cu4 0.500 0.944 0.056
Ba1 0.000 0.000 0.000
Ta1 0.000 0.550 0.450
Ta2 0.450 0.000 0.550
Ta3 0.550 0.450 0.000

***

No. 5
Computed, not measured: a relaxed Ba2TaCu2S6 crystal at the PBE level of DFT.

Summary:
E_tot in eV/atom: -5.48
Total moment in μB per formula unit: 0.0
Space-group type: R-3m (166)
Density of states at the Fermi level in states/eV per atom: 0.8601

abc: 7.069 7.069 7.364
angles: 61.32 61.32 60.00
Fractional positions:
S1 0.239 0.239 0.749
S2 0.239 0.773 0.749
S3 0.227 0.761 0.251
S4 0.761 0.761 0.251
S5 0.773 0.239 0.749
S6 0.761 0.227 0.251
Ba1 0.770 0.770 0.689
Ba2 0.230 0.230 0.311
Cu1 0.415 0.415 0.755
Cu2 0.585 0.585 0.245
Ta1 0.000 0.000 0.000

***

No. 6
Computed, not measured: a relaxed BaTb2CuS4 crystal at the PBE level of DFT.

Summary:
E_tot in eV/atom: -5.74
Total moment in μB per formula unit: 0.0
Space-group type: Cmcm (63)
Density of states at the Fermi level in states/eV per atom: 0.1891

abc: 4.008 7.018 13.674
angles: 90.00 90.00 106.59
Fractional positions:
Tb1 0.629 0.257 0.443
Tb2 0.629 0.257 0.057
Tb3 0.371 0.743 0.557
Tb4 0.371 0.743 0.943
S1 0.433 0.866 0.750
S2 0.735 0.469 0.885
S3 0.000 0.000 0.500
S4 0.735 0.469 0.615
S5 0.567 0.134 0.250
S6 0.265 0.531 0.115
S7 0.000 0.000 0.000
S8 0.265 0.531 0.385
Cu1 0.843 0.687 0.750
Cu2 0.157 0.313 0.250
Ba1 0.887 0.773 0.250
Ba2 0.113 0.227 0.750